Record 1
## Mg2ZrTi (PBE)

Data for Mg2ZrTi after structural relaxation.

Unit cell a=6.249 b=6.249 c=6.249 alpha=100.84 beta=100.84 gamma=128.59
Fractional positions:
Mg: 0.108 0.625 0.983
Mg: 0.375 0.358 0.483
Mg: 0.642 0.125 0.017
Mg: 0.875 0.892 0.517
Zr: 0.250 0.750 0.500
Zr: 0.500 0.500 0.000
Ti: 0.000 0.000 0.000
Ti: 0.750 0.250 0.500

Output
The calculation puts the formation enthalpy at 0 K at 0.5032 eV per atom. The total moment comes out at 0.000 μB/f.u. The space-group type is I-42d.

Record 2
## SbIr (PBE)

Data for SbIr after structural relaxation.

Unit cell a=10.508 b=10.508 c=10.508 alpha=17.04 beta=17.04 gamma=17.04
Fractional positions:
Sb: 0.101 0.101 0.101
Sb: 0.899 0.899 0.899
Ir: 0.369 0.369 0.369
Ir: 0.631 0.631 0.631

Output
The total moment comes out at 0.000 μB/f.u. The calculation puts the formation energy (no corrections) at 0.292 eV per atom. The space-group type is R-3m.

Record 3
## Sc2TaCr (PBE)

Data for Sc2TaCr after structural relaxation.

Unit cell a=3.053 b=4.490 c=5.818 alpha=90.00 beta=103.82 gamma=90.00
Fractional positions:
Sc: 0.000 0.000 0.000
Sc: 0.309 0.500 0.694
Ta: 0.661 0.500 0.246
Cr: 0.550 0.000 0.447

Output
The calculation puts the formation enthalpy at 0 K at 0.2654 eV per atom. The total moment comes out at 1.750 μB/f.u. The space-group type is Pm.

Record 4
## LiCu2Pd2 (PBE)

Data for LiCu2Pd2 after structural relaxation.

Unit cell a=7.078 b=7.078 c=7.078 alpha=152.53 beta=152.53 gamma=39.24
Fractional positions:
Li: 0.000 0.000 0.000
Cu: 0.250 0.750 0.500
Cu: 0.750 0.250 0.500
Pd: 0.399 0.399 0.000
Pd: 0.601 0.601 0.000

Output
The calculation puts the formation enthalpy at 0 K at 0.0183 eV per atom. The total moment comes out at 0.000 μB/f.u. The space-group type is I4/mmm.